# Nd4Te2AsIr

An optimized crystal structure of Nd4Te2AsIr (PBE, Alexandria).

Cell: 7.553 4.298 7.766 Å, 90.00 108.40 90.00°
Element x y z (fractional)
Nd: 0.229 0.000 0.212
Nd: 0.251 0.500 0.783
Nd: 0.749 0.500 0.217
Nd: 0.771 0.000 0.788
Te: 0.000 0.000 0.500
Te: 0.500 0.500 0.500
As: 0.500 0.000 0.000
Ir: 0.000 0.500 0.000

Calculated values
* formation energy without anion corrections: -1.25 eV/atom
* total moment: 0.000 μB per cell

# Nd8Te4As3Ir

An optimized crystal structure of Nd8Te4As3Ir (PBE, Alexandria).

Cell: 8.871 8.871 8.871 Å, 58.70 58.70 58.70°
Element x y z (fractional)
Nd: 0.241 0.241 0.241
Nd: 0.249 0.734 0.734
Nd: 0.266 0.266 0.751
Nd: 0.266 0.751 0.266
Nd: 0.734 0.249 0.734
Nd: 0.734 0.734 0.249
Nd: 0.751 0.266 0.266
Nd: 0.759 0.759 0.759
Te: 0.000 0.000 0.000
Te: 0.000 0.500 0.500
Te: 0.500 0.000 0.500
Te: 0.500 0.500 0.000
As: 0.000 0.000 0.500
As: 0.000 0.500 0.000
As: 0.500 0.000 0.000
Ir: 0.500 0.500 0.500

Calculated values
* formation energy without anion corrections: -1.39 eV/atom
* total moment: 0.000 μB per cell

# Nd2TiAs3Ir4

An optimized crystal structure of Nd2TiAs3Ir4 (PBE, Alexandria).

Cell: 4.152 4.152 10.802 Å, 90.00 90.00 90.00°
Element x y z (fractional)
Nd: 0.000 0.500 0.238
Nd: 0.500 0.000 0.762
Ti: 0.000 0.000 0.500
As: 0.000 0.500 0.863
As: 0.500 0.000 0.137
As: 0.500 0.500 0.500
Ir: 0.000 0.000 0.000
Ir: 0.000 0.500 0.636
Ir: 0.500 0.000 0.364
Ir: 0.500 0.500 0.000

Calculated values
* E_form: -0.81 eV/atom
* total moment: 0.000 μB per cell

# Nd2ZnAs4Ir3

An optimized crystal structure of Nd2ZnAs4Ir3 (PBE, Alexandria).

Cell: 4.354 4.354 10.084 Å, 90.00 90.00 90.00°
Element x y z (fractional)
Nd: 0.000 0.500 0.244
Nd: 0.500 0.000 0.756
Zn: 0.000 0.000 0.500
As: 0.000 0.000 0.000
As: 0.000 0.500 0.639
As: 0.500 0.000 0.361
As: 0.500 0.500 0.000
Ir: 0.000 0.500 0.882
Ir: 0.500 0.000 0.118
Ir: 0.500 0.500 0.500

Calculated values
* E_form: -0.69 eV/atom
* total moment: 0.000 μB per cell

# NiAsIr

An optimized crystal structure of NiAsIr (PBE, Alexandria).

Cell: 6.693 6.400 2.813 Å, 83.50 71.82 24.68°
Element x y z (fractional)
Ni: 0.000 0.000 0.000
As: 0.657 0.657 0.343
Ir: 0.329 0.329 0.671

Calculated values
* E_form: 0.31 eV/atom
* energy above the most stable polymorph in this dataset: 1.23 eV/f.u.
* total moment: 0.000 μB per cell

# NiAsIr2

An optimized crystal structure of NiAsIr2 (PBE, Alexandria).

Cell: 4.720 4.720 4.720 Å, 132.34 132.34 69.70°
Element x y z (fractional)
Ni: 0.000 0.000 0.000
As: 0.250 0.750 0.500
Ir: 0.500 0.500 0.000
Ir: 0.750 0.250 0.500

Calculated values
* E_form: 0.23 eV/atom
* total moment: 0.283 μB per cell

# NiAsIr2

An optimized crystal structure of NiAsIr2 (PBE, Alexandria).

Cell: 2.742 2.742 8.925 Å, 90.00 90.00 119.50°
Element x y z (fractional)
Ni: 0.000 0.000 0.000
As: 0.000 0.000 0.500
Ir: 0.500 0.500 0.237
Ir: 0.500 0.500 0.763

Calculated values
* E_form: 0.36 eV/atom
* total moment: 0.198 μB per cell

# NiAsIr2

An optimized crystal structure of NiAsIr2 (PBE, Alexandria).

Cell: 2.765 2.765 8.846 Å, 90.00 90.00 120.81°
Element x y z (fractional)
Ni: 0.000 0.000 0.000
As: 0.500 0.500 0.766
Ir: 0.000 0.000 0.505
Ir: 0.500 0.500 0.244

Calculated values
* E_form: 0.33 eV/atom
* total moment: 0.000 μB per cell

# NiAsIr

An optimized crystal structure of NiAsIr (PBE, Alexandria).

Cell: 4.062 4.062 2.989 Å, 90.00 90.00 120.00°
Element x y z (fractional)
Ni: 0.000 0.000 0.000
As: 0.667 0.333 0.318
Ir: 0.333 0.667 0.507

Calculated values
* E_form: 0.02 eV/atom
* energy above the most stable polymorph in this dataset: 0.36 eV/f.u.
* total moment: 0.000 μB per cell

# NiAsIr2

An optimized crystal structure of NiAsIr2 (PBE, Alexandria).

Cell: 4.438 4.438 4.438 Å, 125.91 125.91 80.04°
Element x y z (fractional)
Ni: 0.000 0.000 0.000
As: 0.500 0.500 0.000
Ir: 0.250 0.750 0.500
Ir: 0.750 0.250 0.500

Calculated values
* E_form: 0.12 eV/atom
* total moment: 0.731 μB per cell

# NiAsIr2

An optimized crystal structure of NiAsIr2 (PBE, Alexandria).

Cell: 4.424 4.424 2.918 Å, 90.00 90.00 102.19°
Element x y z (fractional)
Ni: 0.000 0.000 0.000
As: 0.500 0.500 0.000
Ir: 0.000 0.500 0.500
Ir: 0.500 0.000 0.500

Calculated values
* E_form: 0.14 eV/atom
* total moment: 0.000 μB per cell

# NiAsIr

An optimized crystal structure of NiAsIr (PBE, Alexandria).

Cell: 4.375 3.793 5.461 Å, 90.00 106.59 90.00°
Element x y z (fractional)
Ni: 0.125 0.250 0.408
Ni: 0.875 0.750 0.592
As: 0.360 0.750 0.275
As: 0.640 0.250 0.725
Ir: 0.231 0.250 0.946
Ir: 0.769 0.750 0.054

Calculated values
* E_form: -0.07 eV/atom
* energy above the most stable polymorph in this dataset: 0.10 eV/f.u.
* total moment: 0.000 μB per cell

# NiAsIr2

An optimized crystal structure of NiAsIr2 (PBE, Alexandria).

Cell: 2.761 4.467 4.667 Å, 90.00 90.00 90.00°
Element x y z (fractional)
Ni: 0.000 0.000 0.000
As: 0.500 0.000 0.500
Ir: 0.000 0.500 0.500
Ir: 0.500 0.500 0.000

Calculated values
* E_form: 0.23 eV/atom
* total moment: 0.000 μB per cell

# NiAsIr2

An optimized crystal structure of NiAsIr2 (PBE, Alexandria).

Cell: 5.261 5.261 5.261 Å, 148.79 129.80 60.30°
Element x y z (fractional)
Ni: 0.000 0.000 0.000
As: 0.500 0.500 0.000
Ir: 0.274 0.774 0.500
Ir: 0.726 0.226 0.500

Calculated values
* E_form: 0.16 eV/atom
* total moment: 0.000 μB per cell

# NiAsIr2

An optimized crystal structure of NiAsIr2 (PBE, Alexandria).

Cell: 5.164 5.164 5.164 Å, 147.52 130.31 60.63°
Element x y z (fractional)
Ni: 0.000 0.000 0.000
As: 0.218 0.718 0.500
Ir: 0.447 0.447 0.000
Ir: 0.726 0.226 0.500

Calculated values
* E_form: 0.18 eV/atom
* total moment: 0.000 μB per cell

# NiAsIr2

An optimized crystal structure of NiAsIr2 (PBE, Alexandria).

Cell: 3.953 3.953 3.537 Å, 90.00 90.00 90.00°
Element x y z (fractional)
Ni: 0.000 0.000 0.000
As: 0.500 0.500 0.000
Ir: 0.000 0.500 0.500
Ir: 0.500 0.000 0.500

Calculated values
* E_form: 0.09 eV/atom
* total moment: 0.003 μB per cell

# Ni2As2Ir

An optimized crystal structure of Ni2As2Ir (PBE, Alexandria).

Cell: 6.644 6.644 3.157 Å, 90.00 90.00 90.00°
Element x y z (fractional)
Ni: 0.136 0.364 0.000
Ni: 0.364 0.864 0.000
Ni: 0.636 0.136 0.000
Ni: 0.864 0.636 0.000
As: 0.155 0.655 0.500
As: 0.345 0.155 0.500
As: 0.655 0.845 0.500
As: 0.845 0.345 0.500
Ir: 0.000 0.000 0.500
Ir: 0.500 0.500 0.500

Calculated values
* E_form: 0.00 eV/atom
* total moment: 0.000 μB per cell

# NiAsIr2

An optimized crystal structure of NiAsIr2 (PBE, Alexandria).

Cell: 6.979 6.979 6.979 Å, 136.93 136.93 62.54°
Element x y z (fractional)
Ni: 0.000 0.000 0.000
Ni: 0.750 0.250 0.500
As: 0.250 0.750 0.500
As: 0.500 0.500 0.000
Ir: 0.118 0.625 0.993
Ir: 0.375 0.368 0.493
Ir: 0.632 0.125 0.007
Ir: 0.875 0.882 0.507

Calculated values
* E_form: 0.65 eV/atom
* total moment: 0.000 μB per cell

# NiAsIr2

An optimized crystal structure of NiAsIr2 (PBE, Alexandria).

Cell: 8.287 8.287 8.287 Å, 19.63 19.63 19.63°
Element x y z (fractional)
Ni: 0.000 0.000 0.000
As: 0.740 0.740 0.740
Ir: 0.249 0.249 0.249
Ir: 0.491 0.491 0.491

Calculated values
* E_form: 0.13 eV/atom
* total moment: 0.465 μB per cell

# NiAsIr

An optimized crystal structure of NiAsIr (PBE, Alexandria).

Cell: 4.448 4.448 4.448 Å, 141.10 129.72 65.34°
Element x y z (fractional)
Ni: 0.000 0.000 0.000
As: 0.686 0.686 0.000
Ir: 0.352 0.352 0.000

Calculated values
* E_form: 0.11 eV/atom
* energy above the most stable polymorph in this dataset: 0.65 eV/f.u.
* total moment: 0.209 μB per cell

# NiAsIr2

An optimized crystal structure of NiAsIr2 (PBE, Alexandria).

Cell: 2.919 2.919 6.578 Å, 90.00 90.00 90.00°
Element x y z (fractional)
Ni: 0.000 0.000 0.000
As: 0.000 0.000 0.500
Ir: 0.500 0.500 0.243
Ir: 0.500 0.500 0.757

Calculated values
* E_form: 0.19 eV/atom
* total moment: 0.635 μB per cell

# NiAsIr2

An optimized crystal structure of NiAsIr2 (PBE, Alexandria).

Cell: 2.798 3.804 5.509 Å, 90.00 104.62 90.00°
Element x y z (fractional)
Ni: 0.000 0.000 0.000
As: 0.589 0.500 0.179
Ir: 0.366 0.500 0.730
Ir: 0.737 0.000 0.472

Calculated values
* E_form: 0.07 eV/atom
* total moment: 0.000 μB per cell

# Ni2As4Ir

An optimized crystal structure of Ni2As4Ir (PBE, Alexandria).

Cell: 6.777 6.777 6.777 Å, 138.40 138.40 60.30°
Element x y z (fractional)
Ni: 0.099 0.099 0.000
Ni: 0.901 0.901 0.000
As: 0.000 0.500 0.500
As: 0.284 0.284 0.000
As: 0.500 0.000 0.500
As: 0.716 0.716 0.000
Ir: 0.500 0.500 0.000

Calculated values
* E_form: 0.39 eV/atom
* total moment: 0.000 μB per cell

# Ni2AsIr2

An optimized crystal structure of Ni2AsIr2 (PBE, Alexandria).

Cell: 7.236 7.236 2.715 Å, 90.00 90.00 90.00°
Element x y z (fractional)
Ni: 0.165 0.335 0.000
Ni: 0.335 0.835 0.000
Ni: 0.665 0.165 0.000
Ni: 0.835 0.665 0.000
As: 0.000 0.000 0.500
As: 0.500 0.500 0.500
Ir: 0.133 0.633 0.500
Ir: 0.367 0.133 0.500
Ir: 0.633 0.867 0.500
Ir: 0.867 0.367 0.500

Calculated values
* E_form: 0.25 eV/atom
* total moment: 0.000 μB per cell

# NiAsIr2

An optimized crystal structure of NiAsIr2 (PBE, Alexandria).

Cell: 4.451 4.451 4.761 Å, 99.43 99.43 37.35°
Element x y z (fractional)
Ni: 0.000 0.000 0.000
As: 0.500 0.500 0.500
Ir: 0.253 0.253 0.758
Ir: 0.747 0.747 0.242

Calculated values
* E_form: 0.08 eV/atom
* total moment: 0.000 μB per cell

# NiAsIr

An optimized crystal structure of NiAsIr (PBE, Alexandria).

Cell: 3.996 3.996 3.996 Å, 60.00 60.00 60.00°
Element x y z (fractional)
Ni: 0.000 0.000 0.000
As: 0.250 0.250 0.250
Ir: 0.500 0.500 0.500

Calculated values
* E_form: -0.10 eV/atom
* energy above the most stable polymorph in this dataset: 0.00 eV/f.u.
* total moment: 0.000 μB per cell

# NiAsIr2

An optimized crystal structure of NiAsIr2 (PBE, Alexandria).

Cell: 8.203 8.203 8.203 Å, 20.09 20.09 20.09°
Element x y z (fractional)
Ni: 0.000 0.000 0.000
As: 0.500 0.500 0.500
Ir: 0.249 0.249 0.249
Ir: 0.751 0.751 0.751

Calculated values
* E_form: 0.19 eV/atom
* total moment: 0.003 μB per cell